# 1
# PBE-GGA SrTl3Ga, optimized geometry
data_SrTl3Ga
_space_group_name_H-M_alt 'P 1'
_space_group_IT_number 1
_cell_length_a 6.2102
_cell_length_b 6.2102
_cell_length_c 6.2102
_cell_angle_alpha 90.00
_cell_angle_beta 90.00
_cell_angle_gamma 90.00
loop_
_space_group_symop_operation_xyz
'x,y,z'
loop_
_atom_site_label
_atom_site_fract_x
_atom_site_fract_y
_atom_site_fract_z
Ga1 0.5000 0.5000 0.5000
Sr1 0.0000 0.0000 0.0000
Tl1 0.0000 0.0000 0.5000
Tl2 0.0000 0.5000 0.0000
Tl3 0.5000 0.0000 0.0000
# symmetry	Pm-3m
# polymorph energy (0 for the lowest one)	0.6403	eV/atom
# DFT formation energy	0.63	eV per atom


# 2
# PBE-GGA AlIN2Cl, optimized geometry
data_AlIN2Cl
_space_group_name_H-M_alt 'P 1'
_space_group_IT_number 1
_cell_length_a 3.8306
_cell_length_b 7.2459
_cell_length_c 3.8306
_cell_angle_alpha 90.00
_cell_angle_beta 90.00
_cell_angle_gamma 90.00
loop_
_space_group_symop_operation_xyz
'x,y,z'
loop_
_atom_site_label
_atom_site_fract_x
_atom_site_fract_y
_atom_site_fract_z
Cl1 0.5000 0.5000 0.5000
Al1 0.0000 0.0000 0.0000
N1 0.0000 0.0000 0.5000
N2 0.5000 0.0000 0.0000
I1 0.0000 0.5000 0.0000
# symmetry	P4/mmm
# polymorph energy (0 for the lowest one)	0.0000	eV/atom


# 3
# PBE-GGA ZnCo2Te, optimized geometry
data_ZnCo2Te
_space_group_name_H-M_alt 'P 1'
_space_group_IT_number 1
_cell_length_a 7.0126
_cell_length_b 7.0126
_cell_length_c 7.0126
_cell_angle_alpha 26.67
_cell_angle_beta 26.67
_cell_angle_gamma 26.67
loop_
_space_group_symop_operation_xyz
'x,y,z'
loop_
_atom_site_label
_atom_site_fract_x
_atom_site_fract_y
_atom_site_fract_z
Co1 0.5016 0.5016 0.5016
Co2 0.9984 0.9984 0.9984
Te1 0.7500 0.7500 0.7500
Zn1 0.2500 0.2500 0.2500
# symmetry	R-3m
# polymorph energy (0 for the lowest one)	0.1810	eV/atom


# 4
# PBE-GGA LiZnAs2, optimized geometry
data_LiZnAs2
_space_group_name_H-M_alt 'P 1'
_space_group_IT_number 1
_cell_length_a 4.1134
_cell_length_b 2.7415
_cell_length_c 7.1507
_cell_angle_alpha 101.05
_cell_angle_beta 90.00
_cell_angle_gamma 90.00
loop_
_space_group_symop_operation_xyz
'x,y,z'
loop_
_atom_site_label
_atom_site_fract_x
_atom_site_fract_y
_atom_site_fract_z
Li1 0.0000 0.5874 0.3022
As1 0.0000 0.9231 0.9730
As2 0.5000 0.1630 0.4540
Zn1 0.5000 0.8265 0.7709
# symmetry	Pm
# DFT formation energy	-0.21	eV per atom


# 5
# PBE-GGA ZrAlFe2, optimized geometry
data_ZrAlFe2
_space_group_name_H-M_alt 'P 1'
_space_group_IT_number 1
_cell_length_a 5.1854
_cell_length_b 5.1854
_cell_length_c 5.1854
_cell_angle_alpha 145.56
_cell_angle_beta 130.48
_cell_angle_gamma 61.71
loop_
_space_group_symop_operation_xyz
'x,y,z'
loop_
_atom_site_label
_atom_site_fract_x
_atom_site_fract_y
_atom_site_fract_z
Fe1 0.7735 0.2735 0.5000
Fe2 0.9874 0.9874 0.0000
Al1 0.2300 0.7300 0.5000
Zr1 0.5092 0.5092 0.0000
# symmetry	Imm2
# DFT formation energy	-0.17	eV per atom


# 6
# PBE-GGA MgNbGaNi, optimized geometry
data_MgNbGaNi
_space_group_name_H-M_alt 'P 1'
_space_group_IT_number 1
_cell_length_a 4.4535
_cell_length_b 4.4535
_cell_length_c 4.4535
_cell_angle_alpha 60.00
_cell_angle_beta 60.00
_cell_angle_gamma 60.00
loop_
_space_group_symop_operation_xyz
'x,y,z'
loop_
_atom_site_label
_atom_site_fract_x
_atom_site_fract_y
_atom_site_fract_z
Ga1 0.5000 0.5000 0.5000
Nb1 0.2500 0.2500 0.2500
Ni1 0.0000 0.0000 0.0000
Mg1 0.7500 0.7500 0.7500
# symmetry	F-43m
# DFT formation energy	-0.10	eV per atom


# 7
# PBE-GGA SrRuW2, optimized geometry
data_SrRuW2
_space_group_name_H-M_alt 'P 1'
_space_group_IT_number 1
_cell_length_a 2.8774
_cell_length_b 2.8774
_cell_length_c 9.2313
_cell_angle_alpha 90.00
_cell_angle_beta 90.00
_cell_angle_gamma 90.50
loop_
_space_group_symop_operation_xyz
'x,y,z'
loop_
_atom_site_label
_atom_site_fract_x
_atom_site_fract_y
_atom_site_fract_z
Ru1 0.5000 0.5000 0.2500
W1 0.0000 0.0000 0.0551
W2 0.0000 0.0000 0.4449
Sr1 0.5000 0.5000 0.7500
# symmetry	Cmmm
# polymorph energy (0 for the lowest one)	0.1288	eV/atom
# DFT formation energy	0.79	eV per atom


# 8
# PBE-GGA Sr3LaPb2S, optimized geometry
data_Sr3LaPb2S
_space_group_name_H-M_alt 'P 1'
_space_group_IT_number 1
_cell_length_a 5.5989
_cell_length_b 5.5261
_cell_length_c 9.4576
_cell_angle_alpha 106.99
_cell_angle_beta 107.22
_cell_angle_gamma 90.00
loop_
_space_group_symop_operation_xyz
'x,y,z'
loop_
_atom_site_label
_atom_site_fract_x
_atom_site_fract_y
_atom_site_fract_z
Pb1 0.6245 0.6245 0.2489
Pb2 0.3755 0.3755 0.7511
S1 0.0000 0.0000 0.0000
La1 0.5000 0.0000 0.0000
Sr1 0.8211 0.8211 0.6423
Sr2 0.0000 0.5000 0.0000
Sr3 0.1789 0.1789 0.3577
# E	-27.83	eV for the cell shown
# symmetry	Immm


# 9
# PBE-GGA TcPdPb3, optimized geometry
data_TcPdPb3
_space_group_name_H-M_alt 'P 1'
_space_group_IT_number 1
_cell_length_a 5.2654
_cell_length_b 5.2654
_cell_length_c 5.2654
_cell_angle_alpha 90.00
_cell_angle_beta 90.00
_cell_angle_gamma 90.00
loop_
_space_group_symop_operation_xyz
'x,y,z'
loop_
_atom_site_label
_atom_site_fract_x
_atom_site_fract_y
_atom_site_fract_z
Pd1 0.5000 0.5000 0.5000
Pb1 0.0000 0.5000 0.0000
Pb2 0.0000 0.0000 0.5000
Pb3 0.5000 0.0000 0.0000
Tc1 0.0000 0.0000 0.0000
# symmetry	Pm-3m
# polymorph energy (0 for the lowest one)	0.0000	eV/atom
# DFT formation energy	0.58	eV per atom


# 10
# PBE-GGA Ta2TcIrS, optimized geometry
data_Ta2TcIrS
_space_group_name_H-M_alt 'P 1'
_space_group_IT_number 1
_cell_length_a 4.8585
_cell_length_b 4.7147
_cell_length_c 4.8585
_cell_angle_alpha 90.00
_cell_angle_beta 90.00
_cell_angle_gamma 90.00
loop_
_space_group_symop_operation_xyz
'x,y,z'
loop_
_atom_site_label
_atom_site_fract_x
_atom_site_fract_y
_atom_site_fract_z
Ta1 0.0000 0.0000 0.5000
Ta2 0.5000 0.0000 0.0000
S1 0.5000 0.5000 0.5000
Tc1 0.0000 0.5000 0.0000
Ir1 0.0000 0.0000 0.0000
# E	-39.92	eV for the cell shown
# symmetry	P4/mmm


# 11
# PBE-GGA Y9Ho11Er4, optimized geometry
data_Y9Ho11Er4
_space_group_name_H-M_alt 'P 1'
_space_group_IT_number 1
_cell_length_a 3.6467
_cell_length_b 15.0495
_cell_length_c 15.0495
_cell_angle_alpha 112.93
_cell_angle_beta 90.00
_cell_angle_gamma 90.00
loop_
_space_group_symop_operation_xyz
'x,y,z'
loop_
_atom_site_label
_atom_site_fract_x
_atom_site_fract_y
_atom_site_fract_z
Ho1 0.0000 0.4074 0.0456
Ho2 0.0000 0.1594 0.8406
Ho3 0.0000 0.6324 0.3676
Ho4 0.0000 0.5926 0.9544
Ho5 0.0000 0.0456 0.4074
Ho6 0.0000 0.8406 0.1594
Ho7 0.0000 0.9544 0.5926
Ho8 0.0000 0.7070 0.7070
Ho9 0.0000 0.3676 0.6324
Ho10 0.0000 0.0000 0.0000
Ho11 0.0000 0.2930 0.2930
Er1 0.5000 0.4462 0.2443
Er2 0.5000 0.5538 0.7557
Er3 0.5000 0.7557 0.5538
Er4 0.5000 0.2443 0.4462
Y1 0.5000 0.5000 0.5000
Y2 0.5000 0.3689 0.8364
Y3 0.5000 0.2148 0.0691
Y4 0.5000 0.7852 0.9309
Y5 0.5000 0.1636 0.6311
Y6 0.5000 0.8364 0.3689
Y7 0.5000 0.9309 0.7852
Y8 0.5000 0.6311 0.1636
Y9 0.5000 0.0691 0.2148
# symmetry	Cmmm
# DFT formation energy	0.04	eV per atom


# 12
# PBE-GGA U2Pb2Se7, optimized geometry
data_U2Pb2Se7
_space_group_name_H-M_alt 'P 1'
_space_group_IT_number 1
_cell_length_a 4.1306
_cell_length_b 9.2317
_cell_length_c 9.2317
_cell_angle_alpha 58.33
_cell_angle_beta 77.07
_cell_angle_gamma 77.07
loop_
_space_group_symop_operation_xyz
'x,y,z'
loop_
_atom_site_label
_atom_site_fract_x
_atom_site_fract_y
_atom_site_fract_z
Se1 0.8301 0.0525 0.2874
Se2 0.4030 0.7068 0.4873
Se3 0.1699 0.7126 0.9475
Se4 0.8804 0.4140 0.8251
Se5 0.5000 0.0095 0.9905
Se6 0.5970 0.5127 0.2932
Se7 0.1196 0.1749 0.5860
U1 0.0000 0.7853 0.2147
U2 0.5000 0.3306 0.6694
Pb1 0.7411 0.8364 0.6814
Pb2 0.2589 0.3186 0.1636
# E	-62.82	eV for the cell shown
# symmetry	Imm2